(1)
# YBe2Cl, relaxed, DFT PBE-GGA
# raw formation energy	-0.2	eV per formula unit
# density	3.2	g/cm3
data_YBe2Cl
_cell_length_a 3.311
_cell_length_b 4.157
_cell_length_c 5.342
_cell_angle_alpha 90.00
_cell_angle_beta 90.00
_cell_angle_gamma 90.00
_space_group_name_H-M_alt 'P 1'
_space_group_IT_number 1
loop_
_space_group_symop_operation_xyz
'x,y,z'
loop_
_atom_site_label
_atom_site_type_symbol
_atom_site_fract_x
_atom_site_fract_y
_atom_site_fract_z
_atom_site_occupancy
Y1 Y 0.000 0.000 0.000 1
Be1 Be 0.500 0.000 0.621 1
Be2 Be 0.500 0.500 0.672 1
Cl1 Cl 0.500 0.500 0.233 1



(2)
# YBe2Cl, relaxed, DFT PBE-GGA
# raw formation energy	1.5	eV per formula unit
# density	3.2	g/cm3
data_YBe2Cl
_cell_length_a 3.221
_cell_length_b 3.221
_cell_length_c 7.953
_cell_angle_alpha 90.00
_cell_angle_beta 90.00
_cell_angle_gamma 115.16
_space_group_name_H-M_alt 'P 1'
_space_group_IT_number 1
loop_
_space_group_symop_operation_xyz
'x,y,z'
loop_
_atom_site_label
_atom_site_type_symbol
_atom_site_fract_x
_atom_site_fract_y
_atom_site_fract_z
_atom_site_occupancy
Y1 Y 0.000 0.000 0.000 1
Be1 Be 0.500 0.500 0.281 1
Be2 Be 0.500 0.500 0.719 1
Cl1 Cl 0.000 0.000 0.500 1